Entry 1:
First-principles (GGA-PBE) data for CsNdBr4 after structural relaxation, as listed in the Alexandria database.

The total energy is -93.16 eV per cell. The density of states at the Fermi level is 0.000 states/eV per cell.

The space group is C2/m (No. 12) and the conventional cell measures 16.3333, 7.9362 and 7.7697 Å, with angles of 90.00, 94.33 and 90.00 degrees. The asymmetric unit holds Cs at (0.2070, 0.0000, 0.2506), Nd at (0.0312, 0.5000, 0.2781), Br at (0.0000, 0.2503, 0.0000), Br at (0.1019, 0.2797, 0.5726) and Br at (0.1957, 0.5000, 0.1770).

=====

Entry 2:
First-principles (GGA-PBE) data for Ba2TbUAs4 after structural relaxation, as listed in the Alexandria database.

The total energy is -47.12 eV per cell. The formation energy from the elements is -1.094 eV per atom. The density of states at the Fermi level is 4.258 states/eV per cell.

The space group is P2/m (No. 10) and the conventional cell measures 7.4563, 4.3619 and 7.8663 Å, with angles of 90.00, 108.60 and 90.00 degrees. The asymmetric unit holds Ba at (0.0000, 0.0000, 0.0000), Ba at (0.5000, 0.5000, 0.0000), Tb at (0.0000, 0.5000, 0.5000), U at (0.5000, 0.0000, 0.5000), As at (0.2478, 0.0000, 0.7045) and As at (0.2758, 0.5000, 0.2995).

=====

Entry 3:
First-principles (GGA-PBE) data for AcTb6Nd3Er2 after structural relaxation, as listed in the Alexandria database.

The total energy is -110.00 eV per cell. The formation energy from the elements is 0.027 eV per atom. The density of states at the Fermi level is 30.608 states/eV per cell.

The space group is C2/m (No. 12) and the conventional cell measures 6.2654, 10.8480 and 11.9832 Å, with angles of 90.00, 100.01 and 90.00 degrees. The asymmetric unit holds Ac at (0.0000, 0.0000, 0.0000), Tb at (0.2473, 0.5000, 0.2507), Tb at (0.2478, 0.3317, 0.7496), Nd at (0.0000, 0.1671, 0.5000), Nd at (0.0000, 0.5000, 0.5000) and Er at (0.0000, 0.3333, 0.0000).

=====

Entry 4:
First-principles (GGA-PBE) data for Sm14ErTl after structural relaxation, as listed in the Alexandria database.

The total energy is -73.31 eV per cell. The formation energy from the elements is -0.020 eV per atom. The density of states at the Fermi level is 21.387 states/eV per cell.

The space group is P4/mmm (No. 123) and the conventional cell measures 7.1625, 7.1625 and 10.2061 Å, with angles of 90.00, 90.00 and 90.00 degrees. The asymmetric unit holds Sm at (0.0000, 0.0000, 0.0000), Sm at (0.0000, 0.5000, 0.0000), Sm at (0.0000, 0.5000, 0.5000), Sm at (0.2501, 0.2501, 0.2538), Sm at (0.5000, 0.5000, 0.0000), Er at (0.0000, 0.0000, 0.5000) and Tl at (0.5000, 0.5000, 0.5000).

=====

Entry 5:
First-principles (GGA-PBE) data for LiPm3Nd3S8 after structural relaxation, as listed in the Alexandria database.

The total energy is -279.64 eV per cell. The density of states at the Fermi level is 13.690 states/eV per cell.

The space group is R-3m (No. 166, hexagonal axes) and the conventional cell measures 8.0364, 8.0364 and 19.7192 Å, with angles of 90.00, 90.00 and 120.00 degrees. The asymmetric unit holds Li at (0.0000, 0.0000, 0.0000), Pm at (0.0000, 0.5000, 0.0000), Nd at (0.0000, 0.5000, 0.5000), S at (0.0000, 0.0000, 0.2509) and S at (0.0085, 0.5043, 0.7470).

=====

Entry 6:
First-principles (GGA-PBE) data for SrTbMgPb after structural relaxation, as listed in the Alexandria database.

The total energy is -50.41 eV per cell. The formation energy from the elements is -0.247 eV per atom. The density of states at the Fermi level is 13.906 states/eV per cell.

The space group is F-43m (No. 216) and the conventional cell measures 7.8973, 7.8973 and 7.8973 Å, with angles of 90.00, 90.00 and 90.00 degrees. The asymmetric unit holds Sr at (0.0000, 0.0000, 0.0000), Tb at (0.0000, 0.0000, 0.5000), Mg at (0.2500, 0.2500, 0.7500) and Pb at (0.2500, 0.2500, 0.2500).

=====

Entry 7:
First-principles (GGA-PBE) data for Y2TeAu after structural relaxation, as listed in the Alexandria database.

The total energy is -45.38 eV per cell. The density of states at the Fermi level is 8.594 states/eV per cell.

The space group is Immm (No. 71) and the conventional cell measures 4.5497, 5.5063 and 8.2439 Å, with angles of 90.00, 90.00 and 90.00 degrees. The asymmetric unit holds Y at (0.0000, 0.0000, 0.2470), Te at (0.0000, 0.5000, 0.0000) and Au at (0.0000, 0.5000, 0.5000).

=====

Entry 8:
First-principles (GGA-PBE) data for Na2Cd3Bi after structural relaxation, as listed in the Alexandria database.

The total energy is -10.18 eV per cell. The formation energy from the elements is -0.153 eV per atom. The density of states at the Fermi level is 1.978 states/eV per cell.

The space group is Pmm2 (No. 25) and the conventional cell measures 3.5495, 5.0770 and 8.9994 Å, with angles of 90.00, 90.00 and 90.00 degrees. The asymmetric unit holds Na at (0.0000, 0.0000, 0.0000), Na at (0.0000, 0.5000, 0.4885), Cd at (0.5000, 0.0000, 0.3218), Cd at (0.5000, 0.0000, 0.6416), Cd at (0.5000, 0.5000, 0.1723) and Bi at (0.5000, 0.5000, 0.8313).